[1]
# NdSm10Ho6, relaxed, DFT PBE
data_NdSm10Ho6
_space_group_name_H-M_alt 'P 1'
_space_group_IT_number 1
_cell_length_a 9.780
_cell_length_b 9.780
_cell_length_c 6.869
_cell_angle_alpha 90.00
_cell_angle_beta 90.00
_cell_angle_gamma 120.00
loop_
_space_group_symop_operation_xyz
'x,y,z'
loop_
_atom_site_label
_atom_site_type_symbol
_atom_site_fract_x
_atom_site_fract_y
_atom_site_fract_z
Nd1 Nd 0.000 0.000 0.000
Sm1 Sm 0.000 0.277 0.683
Sm2 Sm 0.000 0.723 0.317
Sm3 Sm 0.277 0.000 0.683
Sm4 Sm 0.277 0.277 0.317
Sm5 Sm 0.333 0.667 0.000
Sm6 Sm 0.333 0.667 0.500
Sm7 Sm 0.667 0.333 0.000
Sm8 Sm 0.667 0.333 0.500
Sm9 Sm 0.723 0.000 0.317
Sm10 Sm 0.723 0.723 0.683
Ho1 Ho 0.000 0.373 0.193
Ho2 Ho 0.000 0.627 0.807
Ho3 Ho 0.373 0.000 0.193
Ho4 Ho 0.373 0.373 0.807
Ho5 Ho 0.627 0.000 0.807
Ho6 Ho 0.627 0.627 0.193
# total DFT energy (no corrections) = -4.540 eV per atom
# energy relative to the elements = 0.132 eV/atom
# space group = P-31m (162)
# N(E_F) = 25.01 states/eV/cell
# size of the total moment = 0.00 μB/f.u.

---

[2]
# Nd12Sm5Ho2, relaxed, DFT PBE
data_Nd12Sm5Ho2
_space_group_name_H-M_alt 'P 1'
_space_group_IT_number 1
_cell_length_a 9.412
_cell_length_b 9.412
_cell_length_c 8.075
_cell_angle_alpha 92.46
_cell_angle_beta 92.46
_cell_angle_gamma 68.69
loop_
_space_group_symop_operation_xyz
'x,y,z'
loop_
_atom_site_label
_atom_site_type_symbol
_atom_site_fract_x
_atom_site_fract_y
_atom_site_fract_z
Nd1 Nd 0.052 0.052 0.210
Nd2 Nd 0.085 0.540 0.707
Nd3 Nd 0.119 0.669 0.113
Nd4 Nd 0.331 0.881 0.887
Nd5 Nd 0.365 0.365 0.393
Nd6 Nd 0.460 0.915 0.293
Nd7 Nd 0.540 0.085 0.707
Nd8 Nd 0.635 0.635 0.607
Nd9 Nd 0.669 0.119 0.113
Nd10 Nd 0.881 0.331 0.887
Nd11 Nd 0.915 0.460 0.293
Nd12 Nd 0.948 0.948 0.790
Sm1 Sm 0.155 0.155 0.588
Sm2 Sm 0.257 0.257 0.018
Sm3 Sm 0.500 0.500 0.000
Sm4 Sm 0.743 0.743 0.982
Sm5 Sm 0.845 0.845 0.412
Ho1 Ho 0.236 0.764 0.500
Ho2 Ho 0.764 0.236 0.500
# total DFT energy (no corrections) = -4.612 eV per atom
# energy relative to the elements = 0.123 eV/atom
# space group = C2/m (12)
# N(E_F) = 26.81 states/eV/cell
# size of the total moment = 0.00 μB/f.u.
# relative energy among the computed polymorphs = 0.0 meV per atom

---

[3]
# Nd2Sm5Ho2, relaxed, DFT PBE
data_Nd2Sm5Ho2
_space_group_name_H-M_alt 'P 1'
_space_group_IT_number 1
_cell_length_a 10.168
_cell_length_b 10.168
_cell_length_c 10.168
_cell_angle_alpha 85.09
_cell_angle_beta 108.12
_cell_angle_gamma 140.77
loop_
_space_group_symop_operation_xyz
'x,y,z'
loop_
_atom_site_label
_atom_site_type_symbol
_atom_site_fract_x
_atom_site_fract_y
_atom_site_fract_z
Nd1 Nd 0.003 0.126 0.129
Nd2 Nd 0.003 0.374 0.376
Nd3 Nd 0.997 0.626 0.624
Nd4 Nd 0.997 0.874 0.871
Sm1 Sm 0.100 0.404 0.802
Sm2 Sm 0.100 0.799 0.197
Sm3 Sm 0.393 0.901 0.992
Sm4 Sm 0.444 0.322 0.409
Sm5 Sm 0.444 0.535 0.622
Sm6 Sm 0.602 0.299 0.198
Sm7 Sm 0.602 0.904 0.803
Sm8 Sm 0.908 0.401 0.008
Sm9 Sm 0.913 0.035 0.591
Sm10 Sm 0.913 0.822 0.378
Ho1 Ho 0.450 0.209 0.741
Ho2 Ho 0.468 0.709 0.259
Ho3 Ho 0.531 0.031 0.500
Ho4 Ho 0.531 0.531 0.000
# total DFT energy (no corrections) = -4.492 eV per atom
# energy relative to the elements = 0.207 eV/atom
# space group = Ima2 (46)
# N(E_F) = 27.24 states/eV/cell
# size of the total moment = 0.00 μB/f.u.
# relative energy among the computed polymorphs = 91.3 meV per atom

---

[4]
# NdSm2Ho, relaxed, DFT PBE
data_NdSm2Ho
_space_group_name_H-M_alt 'P 1'
_space_group_IT_number 1
_cell_length_a 3.615
_cell_length_b 3.615
_cell_length_c 35.395
_cell_angle_alpha 90.00
_cell_angle_beta 90.00
_cell_angle_gamma 120.00
loop_
_space_group_symop_operation_xyz
'x,y,z'
loop_
_atom_site_label
_atom_site_type_symbol
_atom_site_fract_x
_atom_site_fract_y
_atom_site_fract_z
Nd1 Nd 0.000 0.000 0.000
Nd2 Nd 0.333 0.667 0.667
Nd3 Nd 0.667 0.333 0.333
Sm1 Sm 0.000 0.000 0.248
Sm2 Sm 0.000 0.000 0.752
Sm3 Sm 0.333 0.667 0.418
Sm4 Sm 0.333 0.667 0.915
Sm5 Sm 0.667 0.333 0.085
Sm6 Sm 0.667 0.333 0.582
Ho1 Ho 0.000 0.000 0.500
Ho2 Ho 0.333 0.667 0.167
Ho3 Ho 0.667 0.333 0.833
# total DFT energy (no corrections) = -4.679 eV per atom
# energy relative to the elements = 0.017 eV/atom
# space group = R-3m (166)
# N(E_F) = 15.79 states/eV/cell
# size of the total moment = 0.00 μB/f.u.
# relative energy among the computed polymorphs = 0.4 meV per atom

---

Question: What is the N(E_F) in the second record?
Answer: 26.81 states/eV/cell

---

Please write out number 4 again, unchanged.
# NdSm2Ho, relaxed, DFT PBE
data_NdSm2Ho
_space_group_name_H-M_alt 'P 1'
_space_group_IT_number 1
_cell_length_a 3.615
_cell_length_b 3.615
_cell_length_c 35.395
_cell_angle_alpha 90.00
_cell_angle_beta 90.00
_cell_angle_gamma 120.00
loop_
_space_group_symop_operation_xyz
'x,y,z'
loop_
_atom_site_label
_atom_site_type_symbol
_atom_site_fract_x
_atom_site_fract_y
_atom_site_fract_z
Nd1 Nd 0.000 0.000 0.000
Nd2 Nd 0.333 0.667 0.667
Nd3 Nd 0.667 0.333 0.333
Sm1 Sm 0.000 0.000 0.248
Sm2 Sm 0.000 0.000 0.752
Sm3 Sm 0.333 0.667 0.418
Sm4 Sm 0.333 0.667 0.915
Sm5 Sm 0.667 0.333 0.085
Sm6 Sm 0.667 0.333 0.582
Ho1 Ho 0.000 0.000 0.500
Ho2 Ho 0.333 0.667 0.167
Ho3 Ho 0.667 0.333 0.833
# total DFT energy (no corrections) = -4.679 eV per atom
# energy relative to the elements = 0.017 eV/atom
# space group = R-3m (166)
# N(E_F) = 15.79 states/eV/cell
# size of the total moment = 0.00 μB/f.u.
# relative energy among the computed polymorphs = 0.4 meV per atom

---

Question: Number 3 is which compound?
Answer: Nd2Sm5Ho2